Record 1
{"formula": "YNbN2O", "functional": "PBE", "state": "relaxed", "energy_ev_per_cell": -187.4, "cell": [[5.718, 0.000, 0.000], [0.000, 7.865, 0.000], [0.000, 0.000, 5.520]], "species": ["Y", "Y", "Y", "Y", "Nb", "Nb", "Nb", "Nb", "N", "N", "N", "N", "N", "N", "N", "N", "O", "O", "O", "O"], "frac_coords": [[0.059, 0.250, 0.023], [0.441, 0.750, 0.523], [0.559, 0.250, 0.477], [0.941, 0.750, 0.977], [0.000, 0.000, 0.500], [0.000, 0.500, 0.500], [0.500, 0.000, 0.000], [0.500, 0.500, 0.000], [0.206, 0.562, 0.795], [0.206, 0.938, 0.795], [0.294, 0.062, 0.295], [0.294, 0.438, 0.295], [0.706, 0.562, 0.705], [0.706, 0.938, 0.705], [0.794, 0.062, 0.205], [0.794, 0.438, 0.205], [0.041, 0.750, 0.379], [0.459, 0.250, 0.879], [0.541, 0.750, 0.121], [0.959, 0.250, 0.621]]}

---

Record 2
{"formula": "YNbNO", "functional": "PBE", "state": "relaxed", "polymorph_energy_ev_per_fu": 0.27, "cell": [[3.993, 0.000, 0.000], [0.000, 3.993, 0.000], [0.000, 0.000, 7.974]], "species": ["Y", "Y", "Nb", "Nb", "N", "N", "O", "O"], "frac_coords": [[0.250, 0.250, 0.130], [0.750, 0.750, 0.870], [0.250, 0.750, 0.500], [0.750, 0.250, 0.500], [0.250, 0.250, 0.593], [0.750, 0.750, 0.407], [0.250, 0.750, 0.000], [0.750, 0.250, 0.000]]}

---

Record 3
{"formula": "ZrNbNO", "functional": "PBE", "state": "relaxed", "polymorph_energy_ev_per_fu": 0.34, "cell": [[3.218, 0.000, 0.000], [0.000, 5.928, 0.000], [0.000, 0.000, 5.836]], "species": ["Zr", "Zr", "Nb", "Nb", "N", "N", "O", "O"], "frac_coords": [[0.000, 0.116, 0.000], [0.000, 0.884, 0.500], [0.500, 0.333, 0.587], [0.500, 0.667, 0.087], [0.500, 0.354, 0.926], [0.500, 0.646, 0.426], [0.000, 0.223, 0.359], [0.000, 0.777, 0.859]]}